Material: SmEuCo4O12
Method: DFT, PBE+U
State: optimized geometry

* DOS(E_F): 0.82 states/eV per atom
* SG: P4/mmm (123)
* raw total energy: -6.3472 eV per atom

Structure (extended XYZ):
```
18
Lattice="5.2655 0.0000 0.0000 0.0000 5.2655 0.0000 0.0000 0.0000 7.5314" Properties=species:S:1:pos:R:3 pbc="T T T"
Sm 0.0000 0.0000 0.0000
Eu 2.6328 2.6328 3.7657
Co 0.0000 2.6328 1.8965
Co 0.0000 2.6328 5.6349
Co 2.6328 0.0000 1.8965
Co 2.6328 0.0000 5.6349
O 0.0000 2.6328 0.0000
O 0.0000 2.6328 3.7657
O 1.3024 1.3024 1.8488
O 1.3024 1.3024 5.6827
O 1.3024 3.9631 1.8488
O 1.3024 3.9631 5.6827
O 2.6328 0.0000 0.0000
O 2.6328 0.0000 3.7657
O 3.9631 1.3024 1.8488
O 3.9631 1.3024 5.6827
O 3.9631 3.9631 1.8488
O 3.9631 3.9631 5.6827
```